10
Lattice="-0.803 -1.521 3.760 4.052 -0.132 0.812 -0.677 14.519 5.729" Properties=species:S:1:pos:R:3 comment="Rb2TaPtSe6, relaxed, DFT PBE" energy_ev_per_cell=-40.2 pbc="T T T"
Pt -0.339 7.260 2.865
Rb 1.418 3.602 4.034
Rb 1.154 9.265 6.268
Se 1.624 -0.826 2.286
Se -0.489 1.116 2.621
Se 1.938 1.811 1.147
Se 1.286 6.433 5.151
Se -0.992 11.882 6.869
Se 1.436 12.577 5.395
Ta 0.000 0.000 0.000

9
Lattice="-3.333 4.142 1.086 0.433 -4.123 3.501 5.916 3.784 3.725" Properties=species:S:1:pos:R:3 comment="RbSi5Pt3, relaxed, DFT PBE" energy_ev_per_cell=-45.0 pbc="T T T"
Pt 1.292 3.963 2.406
Pt 3.175 -0.170 3.613
Pt 1.508 1.901 4.156
Rb 0.000 0.000 0.000
Si -0.631 2.312 2.802
Si 0.625 -0.443 3.607
Si 2.958 1.892 1.863
Si 2.392 4.245 4.705
Si 3.647 1.490 5.510

12
Lattice="3.214 3.449 7.958 -3.808 0.807 -8.391 -9.737 -0.918 4.330" Properties=species:S:1:pos:R:3 comment="RbSmTe3Pt, relaxed, DFT PBE" energy_ev_per_cell=-53.7 pbc="T T T"
Pt -6.193 0.596 -7.195
Pt -4.137 2.742 11.092
Rb -0.972 2.560 4.961
Rb -9.358 0.778 -1.064
Sm -0.297 2.128 -0.216
Sm -5.165 1.669 1.949
Te -3.801 1.040 -6.108
Te -3.334 1.671 -0.539
Te -7.034 0.735 -4.671
Te -3.297 2.603 8.568
Te -6.996 1.666 4.436
Te -6.529 2.298 10.005

14
Lattice="4.921 0.000 0.000 -2.461 4.262 0.000 0.000 0.000 22.105" Properties=species:S:1:pos:R:3 comment="Rb3Sn2Pt2, relaxed, DFT PBE" energy_ev_per_cell=-46.3 pbc="T T T"
Pt 0.000 0.000 0.000
Pt 0.000 2.841 5.526
Pt 0.000 0.000 11.052
Pt 2.461 1.421 16.578
Rb 0.000 0.000 3.287
Rb 2.461 1.421 5.526
Rb 0.000 0.000 7.766
Rb 0.000 0.000 14.339
Rb 0.000 2.841 16.578
Rb 0.000 0.000 18.818
Sn 0.000 2.841 0.760
Sn 0.000 2.841 10.292
Sn 2.461 1.421 11.813
Sn 2.461 1.421 21.344

3
Lattice="0.000 3.549 3.549 3.549 0.000 3.549 3.549 3.549 0.000" Properties=species:S:1:pos:R:3 comment="RbSnPt, relaxed, DFT PBE" polymorph_energy_mev_per_atom=0 pbc="T T T"
Pt 0.000 0.000 0.000
Rb 1.775 1.775 1.775
Sn 5.324 5.324 5.324

3
Lattice="-4.424 -1.680 2.158 -3.957 3.297 0.722 -4.303 -0.431 -2.889" Properties=species:S:1:pos:R:3 comment="RbSnPt, relaxed, DFT PBE" polymorph_energy_mev_per_atom=799 pbc="T T T"
Pt -3.171 0.296 -0.002
Rb 0.000 0.000 0.000
Sn -9.513 0.889 -0.006

3
Lattice="0.913 -4.543 0.138 0.487 -2.143 4.082 -3.244 -2.973 1.458" Properties=species:S:1:pos:R:3 comment="RbTaPt, relaxed, DFT PBE" polymorph_energy_mev_per_atom=0 pbc="T T T"
Pt -0.461 -2.415 1.420
Rb -1.383 -7.245 4.259
Ta 0.000 0.000 0.000

3
Lattice="1.810 -4.124 -1.173 1.188 -3.047 3.312 -2.491 -3.887 0.588" Properties=species:S:1:pos:R:3 comment="RbTaPt, relaxed, DFT PBE" polymorph_energy_mev_per_atom=1076 pbc="T T T"
Pt 0.127 -2.764 0.681
Rb 0.000 0.000 0.000
Ta 0.380 -8.293 2.044

3
Lattice="0.000 3.592 3.592 3.592 0.000 3.592 3.592 3.592 0.000" Properties=species:S:1:pos:R:3 comment="RbTbPt, relaxed, DFT PBE" energy_ev_per_cell=-11.8 pbc="T T T"
Pt 0.000 0.000 0.000
Rb 1.796 1.796 1.796
Tb 5.388 5.388 5.388

12
Lattice="-0.346 4.188 -8.246 -0.384 -0.076 9.247 10.374 1.734 0.446" Properties=species:S:1:pos:R:3 comment="RbTbTe3Pt, relaxed, DFT PBE" energy_ev_per_cell=-53.5 pbc="T T T"
Pt 2.248 4.599 -8.043
Pt 7.397 1.247 9.489
Rb 2.219 1.430 4.957
Rb 7.425 4.415 -3.511
Tb -0.365 2.056 0.500
Tb 4.822 2.923 0.723
Te 0.492 3.837 -6.195
Te 2.232 2.861 -0.914
Te 3.994 4.423 -6.045
Te 5.650 1.423 7.491
Te 7.412 2.984 2.361
Te 9.152 2.008 7.642

3
Lattice="0.000 3.419 3.419 3.419 0.000 3.419 3.419 3.419 0.000" Properties=species:S:1:pos:R:3 comment="RbTcPt, relaxed, DFT PBE" polymorph_energy_mev_per_atom=0 pbc="T T T"
Pt 0.000 0.000 0.000
Rb 1.709 1.709 1.709
Tc 5.128 5.128 5.128

3
Lattice="-1.738 1.301 4.281 -4.616 1.241 0.440 -3.049 -2.884 2.329" Properties=species:S:1:pos:R:3 comment="RbTcPt, relaxed, DFT PBE" polymorph_energy_mev_per_atom=755 pbc="T T T"
Pt -2.351 -0.085 1.763
Rb 0.000 0.000 0.000
Tc -7.052 -0.256 5.288

3
Lattice="-2.325 -4.270 1.252 -3.519 -1.921 -3.021 0.927 -4.210 -2.573" Properties=species:S:1:pos:R:3 comment="RbTePt, relaxed, DFT PBE" energy_ev_per_cell=-10.0 pbc="T T T"
Pt 0.000 0.000 0.000
Rb -1.229 -2.600 -1.086
Te -3.688 -7.801 -3.257

3
Lattice="4.421 -2.854 -0.392 -0.094 -4.693 -2.411 2.343 -0.604 -4.689" Properties=species:S:1:pos:R:3 comment="RbTePt, relaxed, DFT PBE" energy_ev_per_cell=-7.5 pbc="T T T"
Pt 1.668 -2.038 -1.873
Rb 0.000 0.000 0.000
Te 5.003 -6.113 -5.620

9
Lattice="6.586 0.000 0.000 -3.293 5.703 0.000 0.000 0.000 7.583" Properties=species:S:1:pos:R:3 comment="RbTe5Pt3, relaxed, DFT PBE" energy_ev_per_cell=-37.3 pbc="T T T"
Pt 3.293 0.000 3.792
Pt -1.646 2.852 3.792
Pt 1.646 2.852 3.792
Rb 0.000 0.000 0.000
Te 3.293 1.901 1.947
Te 0.000 3.802 1.947
Te 0.000 0.000 3.792
Te 3.293 1.901 5.637
Te 0.000 3.802 5.637

5
Lattice="-2.030 4.092 5.372 2.030 -4.092 5.372 2.030 4.092 -5.372" Properties=species:S:1:pos:R:3 comment="Rb2Te2Pt, relaxed, DFT PBE" energy_ev_per_cell=-18.3 pbc="T T T"
Pt 0.000 0.000 0.000
Rb 0.000 4.092 2.149
Rb 2.030 0.000 3.223
Te 0.000 2.350 5.372
Te 2.030 1.742 0.000

12
Lattice="6.554 0.000 0.000 -1.537 7.172 0.000 -1.263 -2.917 9.301" Properties=species:S:1:pos:R:3 comment="Rb2Te3Pt, relaxed, DFT PBE" energy_ev_per_cell=-41.8 pbc="T T T"
Pt 1.110 1.932 3.418
Pt 2.645 2.323 5.883
Rb 0.347 5.962 0.865
Rb 4.175 3.886 2.892
Rb -0.420 0.369 6.409
Rb 3.408 -1.707 8.436
Te 1.550 2.538 0.779
Te 5.545 0.483 2.650
Te 3.064 0.367 4.180
Te 0.691 3.889 5.121
Te -1.790 3.772 6.651
Te 2.205 1.717 8.522

12
Lattice="2.114 -9.007 0.000 2.114 9.007 0.000 0.000 0.000 10.451" Properties=species:S:1:pos:R:3 comment="RbTmTe3Pt, relaxed, DFT PBE" energy_ev_per_cell=-52.9 pbc="T T T"
Pt 2.114 -0.157 2.613
Pt 2.114 0.157 7.838
Rb 2.114 4.550 2.613
Rb 2.114 -4.550 7.838
Te 2.114 -2.073 0.775
Te 2.114 -7.478 2.613
Te 2.114 -2.073 4.451
Te 2.114 2.073 6.000
Te 2.114 7.478 7.838
Te 2.114 2.073 9.676
Tm 0.000 0.000 0.000
Tm 0.000 0.000 5.225

3
Lattice="3.117 -1.687 -3.701 3.114 -3.972 0.886 -0.903 -4.515 -2.249" Properties=species:S:1:pos:R:3 comment="RbThPt, relaxed, DFT PBE" energy_ev_per_cell=-13.8 pbc="T T T"
Pt 0.000 0.000 0.000
Rb 1.332 -2.544 -1.266
Th 3.996 -7.631 -3.799

12
Lattice="9.679 0.000 0.000 0.000 4.082 0.000 0.000 0.000 9.222" Properties=species:S:1:pos:R:3 comment="RbTl4Pt, relaxed, DFT PBE" energy_ev_per_cell=-34.4 pbc="T T T"
Pt 7.260 0.000 1.511
Pt 2.420 0.000 7.711
Rb 2.420 0.000 3.868
Rb 7.260 0.000 5.355
Tl 0.000 0.000 0.000
Tl 4.840 0.000 0.000
Tl 2.420 2.041 0.772
Tl 5.495 2.041 2.668
Tl 9.024 2.041 2.668
Tl 0.656 2.041 6.554
Tl 4.184 2.041 6.554
Tl 7.260 2.041 8.450

3
Lattice="4.650 -1.943 0.747 2.698 1.354 4.105 0.786 -3.356 3.752" Properties=species:S:1:pos:R:3 comment="RbUPt, relaxed, DFT PBE" polymorph_energy_mev_per_atom=0 pbc="T T T"
Pt 0.000 0.000 0.000
Rb 2.033 -0.986 2.151
U 6.100 -2.959 6.453

3
Lattice="-2.526 -4.252 0.234 -1.047 -2.019 4.399 -4.662 -0.021 1.668" Properties=species:S:1:pos:R:3 comment="RbPtW, relaxed, DFT PBE" polymorph_energy_mev_per_atom=989 pbc="T T T"
Pt -2.059 -1.573 1.575
Rb 0.000 0.000 0.000
W -6.177 -4.720 4.725

3
Lattice="-3.026 -0.331 3.417 -3.468 -2.972 -0.295 -0.053 -3.726 2.657" Properties=species:S:1:pos:R:3 comment="RbPtW, relaxed, DFT PBE" polymorph_energy_mev_per_atom=0 pbc="T T T"
Pt -1.637 -1.757 1.445
Rb -4.910 -5.272 4.335
W 0.000 0.000 0.000

10
Lattice="7.038 0.000 0.000 3.516 6.098 0.000 3.516 2.031 5.755" Properties=species:S:1:pos:R:3 comment="RbZn3Pt, relaxed, DFT PBE" energy_ev_per_cell=-24.4 pbc="T T T"
Pt 3.519 0.000 0.000
Pt 3.516 4.064 2.877
Rb 7.054 2.046 1.439
Rb 7.015 6.083 4.316
Zn 5.270 5.080 1.431
Zn 8.800 5.095 1.442
Zn 3.530 2.029 1.443
Zn 10.540 6.100 4.311
Zn 5.270 3.034 4.313
Zn 8.800 3.049 4.323

3
Lattice="0.000 3.359 3.359 3.359 0.000 3.359 3.359 3.359 0.000" Properties=species:S:1:pos:R:3 comment="RbZrPt, relaxed, DFT PBE" polymorph_energy_mev_per_atom=868 pbc="T T T"
Pt 1.679 1.679 1.679
Rb 0.000 0.000 0.000
Zr 5.038 5.038 5.038

3
Lattice="1.688 -4.586 0.164 0.628 -2.221 4.311 -2.970 -3.652 1.324" Properties=species:S:1:pos:R:3 comment="RbZrPt, relaxed, DFT PBE" polymorph_energy_mev_per_atom=0 pbc="T T T"
Pt 0.000 0.000 0.000
Rb -0.163 -2.615 1.450
Zr -0.490 -7.845 4.350

6
Lattice="0.000 3.628 3.628 3.628 0.000 3.628 3.628 3.628 0.000" Properties=species:S:1:pos:R:3 comment="RePt2, relaxed, DFT PBE" polymorph_energy_mev_per_atom=0 formation_enthalpy_0k_kcal_per_mol_atoms=13.97 pbc="T T T"
Pt 2.721 2.721 4.535
Pt 2.721 4.535 2.721
Pt 4.535 2.721 2.721
Pt 4.535 4.535 4.535
Re 0.000 0.000 0.000
Re 1.814 1.814 1.814